Here is Te2PdO after structural relaxation from the Alexandria database. Energies are from PBE.

Cell and atoms, written as POSCAR:
```
Te2PdO
1.0
2.115 1.221 6.603
-2.115 1.221 6.603
0.000 -2.442 6.603
Te Pd O
2 1 1
Direct
0.103 0.103 0.103 Te
0.897 0.897 0.897 Te
0.500 0.500 0.500 Pd
0.000 0.000 0.000 O
```

**N(E_F)**: 1.2 states/eV per cell
**ΔE_f (raw)**: -1.43 eV per formula unit
**Space group**: R-3m (166)

=====

Here is BeIn2N after structural relaxation from the Alexandria database. Energies are from PBE.

Cell and atoms, written as POSCAR:
```
BeIn2N
1.0
0.000 3.210 3.210
3.210 0.000 3.210
3.210 3.210 0.000
Be In N
1 2 1
Direct
0.000 0.000 0.000 Be
0.250 0.250 0.250 In
0.750 0.750 0.750 In
0.500 0.500 0.500 N
```

**N(E_F)**: 3.2 states/eV per cell
**ΔE_f (raw)**: 4.72 eV per formula unit
**Space group**: Fm-3m (225)
**Polymorph energy (0 for the lowest one)**: 0.600 eV per atom

=====

- Number 1 is which compound?
  Te2PdO